A plane-wave DFT calculation with PBE-GGA was carried out for an optimized crystal structure of MgPt2BrF.

a = 4.235 Å, b = 5.471 Å, c = 4.235 Å
α = 90.00°, β = 90.00°, γ = 90.00°
Fractional coordinates of all 5 atoms:
1 Pt 0.500 0.000 0.000
2 Pt 0.000 0.000 0.500
3 Br 0.000 0.500 0.000
4 Mg 0.500 0.500 0.500
5 F 0.000 0.000 0.000

**Space-group type**: P4/mmm (123)
**Raw total energy**: -3.324 eV/atom
**Crystal system**: tetragonal
**ΔE_f (raw)**: 0.120 eV per atom
**Excess energy over the best structure of this formula in the dataset**: 0.259 eV/atom

=====

A plane-wave DFT calculation with PBE-GGA was carried out for an optimized crystal structure of AcLa2PrH.

a = 5.338 Å, b = 5.336 Å, c = 5.336 Å
α = 90.00°, β = 90.00°, γ = 90.00°
Fractional coordinates of all 5 atoms:
1 Pr 0.500 0.000 0.000
2 Ac 0.500 0.500 0.500
3 La 0.000 0.000 0.500
4 La 0.000 0.500 0.000
5 H 0.000 0.000 0.000

**Space-group type**: P4/mmm (123)
**Raw total energy**: -4.597 eV/atom
**Crystal system**: tetragonal

=====

Please write out number 2 again, unchanged.
A plane-wave DFT calculation with PBE-GGA was carried out for an optimized crystal structure of AcLa2PrH.

a = 5.338 Å, b = 5.336 Å, c = 5.336 Å
α = 90.00°, β = 90.00°, γ = 90.00°
Fractional coordinates of all 5 atoms:
1 Pr 0.500 0.000 0.000
2 Ac 0.500 0.500 0.500
3 La 0.000 0.000 0.500
4 La 0.000 0.500 0.000
5 H 0.000 0.000 0.000

**Space-group type**: P4/mmm (123)
**Raw total energy**: -4.597 eV/atom
**Crystal system**: tetragonal

=====

> The highest raw total energy belongs to which entry?

MgPt2BrF

=====

> Look up the raw total energy of the second one.

-4.597 eV/atom